1.
Entry from Alexandria: an optimized crystal structure of BaTePt (GGA-PBE).

Output
M_tot   0.00 μB/atom
Space group   No. 38
VASP energy   -4.4051 eV per atom

Unit cell a=4.1887 b=4.9874 c=11.2494 alpha=90.00 beta=90.00 gamma=114.83
Positions (direct):
Pt 0.4538 0.9077 0.0000
Pt 0.3150 0.6299 0.5000
Ba 0.1264 0.2528 0.8282
Ba 0.1264 0.2528 0.1718
Te 0.8225 0.6450 0.3548
Te 0.8225 0.6450 0.6452



2.
Entry from Alexandria: an optimized crystal structure of BaTePt (GGA-PBE).

Output
M_tot   0.00 μB/atom
Space group   No. 1
VASP energy   -4.7635 eV per atom

Unit cell a=10.1489 b=4.7085 c=4.7048 alpha=59.98 beta=91.19 gamma=76.66
Positions (direct):
Ba 0.8094 0.7143 0.1490
Ba 0.2894 0.3822 0.3364
Pt 0.0716 0.2006 0.9165
Pt 0.6054 0.1899 0.3998
Te 0.0551 0.8781 0.5778
Te 0.5666 0.5483 0.7226